No. 1
A geometry-optimized Ta11Pt4Rh9 structure. Source: Alexandria, functional PBE.

The space group is Cmmm (No. 65) and the conventional cell measures 15.860, 17.080 and 2.862 Å, with angles of 90.00, 90.00 and 90.00 degrees. The distinct sites, in fractional coordinates, are Ta at (0.000, 0.000, 0.000), Ta at (0.000, 0.187, 0.000), Ta at (0.000, 0.360, 0.000), Ta at (0.229, 0.000, 0.000), Ta at (0.238, 0.168, 0.000), Pt at (0.146, 0.419, 0.500), Rh at (0.000, 0.500, 0.500), Rh at (0.109, 0.089, 0.500) and Rh at (0.122, 0.260, 0.500).

=====

No. 2
A geometry-optimized TaPt2Rh structure. Source: Alexandria, functional PBE.

The space group is Cm (No. 8) and the conventional cell measures 9.315, 2.840 and 4.849 Å, with angles of 90.00, 100.83 and 90.00 degrees. The distinct sites, in fractional coordinates, are Ta at (0.000, 0.000, 0.000), Pt at (0.003, 0.500, 0.506), Pt at (0.248, 0.500, 0.251) and Rh at (0.256, 0.000, 0.756).

=====

No. 3
A geometry-optimized TaPt8Rh2 structure. Source: Alexandria, functional PBE.

The space group is C2/m (No. 12) and the conventional cell measures 14.248, 3.958 and 6.283 Å, with angles of 90.00, 105.50 and 90.00 degrees. The distinct sites, in fractional coordinates, are Ta at (0.000, 0.000, 0.000), Pt at (0.046, 0.500, 0.729), Pt at (0.092, 0.000, 0.443), Pt at (0.134, 0.500, 0.178), Pt at (0.182, 0.000, 0.912) and Rh at (0.223, 0.500, 0.627).

=====

No. 4
A geometry-optimized TaPtRh3 structure. Source: Alexandria, functional PBE.

The space group is C2/c (No. 15) and the conventional cell measures 4.762, 13.991 and 4.770 Å, with angles of 90.00, 108.38 and 90.00 degrees. The distinct sites, in fractional coordinates, are Ta at (0.000, 0.151, 0.250), Pt at (0.000, 0.352, 0.250), Rh at (0.000, 0.053, 0.750), Rh at (0.000, 0.253, 0.750) and Rh at (0.000, 0.450, 0.750).

The excess energy over the best structure of this formula in the dataset comes out at 0 meV/atom.

=====

It is found that the calculated total energy values, taken in the order of the records, are -9.6942; -8.2833; -7.1246; -8.4258 eV/atom.
It is found that the M_tot values, taken in the order of the records, are 0.00; 0.00; 0.00; 0.00 μB/f.u..